VASP calculation (PBE) on a relaxed DyAlCdHg crystal.

Calculated values
For the theoretical density, the calculation gives 9.30 g/cm³. The magnetization is 0.00 μB/atom. The calculation puts the formation enthalpy at 0 K at -0.23 eV per atom.

Structure (POSCAR):
```
DyAlCdHg
1.0
0.000 3.553 3.553
3.553 0.000 3.553
3.553 3.553 0.000
Dy Al Cd Hg
1 1 1 1
Direct
0.000 0.000 0.000
0.500 0.500 0.500
0.250 0.250 0.250
0.750 0.750 0.750
```